# Tl2SiIr

Tl2SiIr after structural relaxation (GGA-PBE, Alexandria).

Geometry as POSCAR:
```
Tl2SiIr
1.0
3.150 0.000 0.000
0.000 3.150 0.000
0.000 0.000 8.336
Tl Si Ir
2 1 1
direct
0.000 0.000 0.226
0.000 0.000 0.774
0.500 0.500 0.500
0.500 0.500 0.000
```

Properties
formation energy from raw total energies	0.68	eV/atom
density	12.625	g/cm3